No. 1
CsRb2LiSe: optimized geometry, PBE.

The structure in POSCAR format:
```
CsRb2LiSe
1.0
7.286 0.000 0.000
0.000 7.286 0.000
0.000 0.000 5.144
Cs Rb Li Se
1 2 1 1
Direct
0.000 0.000 0.000
0.000 0.500 0.500
0.500 0.000 0.500
0.500 0.500 0.000
0.500 0.500 0.500
```

Formation energy without anion corrections: -0.471 eV/atom
Space-group type: P4/mmm, No. 123
Density: 2.370 g/cm3

No. 2
AsPt5: optimized geometry, PBE.

The structure in POSCAR format:
```
AsPt5
1.0
1.797 -6.391 0.000
1.797 6.391 0.000
0.000 0.000 4.174
As Pt
1 5
Direct
0.000 0.000 0.000
0.174 0.826 0.500
0.345 0.655 0.000
0.500 0.500 0.500
0.655 0.345 0.000
0.826 0.174 0.500
```

Space-group type: Cmmm, No. 65
Density: 18.191 g/cm3
Calculated formation energy: -0.03 eV per atom

No. 3
Tm3MgRu: optimized geometry, PBE.

The structure in POSCAR format:
```
Tm3MgRu
1.0
9.444 0.000 0.000
0.000 3.339 0.000
0.000 0.000 7.931
Tm Mg Ru
6 2 2
Direct
0.043 0.000 0.213
0.250 0.000 0.550
0.457 0.000 0.213
0.543 0.000 0.787
0.750 0.000 0.450
0.957 0.000 0.787
0.250 0.500 0.921
0.750 0.500 0.079
0.000 0.500 0.500
0.500 0.500 0.500
```

Distance to the lowest polymorph of the same formula: 0.0 kJ per mole of atoms
Space-group type: Pmma, No. 51
Density: 8.394 g/cm3
Calculated formation energy: -0.24 eV per atom

No. 4
ReSiAu: optimized geometry, PBE.

The structure in POSCAR format:
```
ReSiAu
1.0
2.914 0.000 0.000
-1.457 2.523 0.000
0.000 0.000 6.326
Re Si Au
1 1 1
Direct
0.000 0.000 0.000
0.667 0.333 0.283
0.333 0.667 0.621
```

Distance to the lowest polymorph of the same formula: 0.0 kJ per mole of atoms
Formation energy without anion corrections: 0.215 eV/atom
Space-group type: P3m1, No. 156
Density: 14.681 g/cm3

No. 5
Tc5C3: optimized geometry, PBE.

The structure in POSCAR format:
```
Tc5C3
1.0
3.581 -4.591 0.000
3.581 4.591 0.000
0.000 0.000 2.850
Tc C
5 3
Direct
0.000 0.000 0.000
0.000 0.500 0.000
0.315 0.315 0.500
0.500 0.000 0.000
0.685 0.685 0.500
0.183 0.817 0.500
0.500 0.500 0.000
0.817 0.183 0.500
```

Distance to the lowest polymorph of the same formula: 26.7 kJ per mole of atoms
Space-group type: Cmmm, No. 65
Density: 9.322 g/cm3
Calculated formation energy: 0.66 eV per atom

No. 6
K2TaSe: optimized geometry, PBE.

The structure in POSCAR format:
```
K2TaSe
1.0
4.115 0.000 0.000
0.000 4.683 0.000
0.000 0.000 5.557
K Ta Se
2 1 1
Direct
0.000 0.000 0.000
0.500 0.500 0.000
0.000 0.500 0.500
0.500 0.000 0.500
```

Formation energy without anion corrections: 0.762 eV/atom
Space-group type: Pmmm, No. 47
Density: 5.243 g/cm3

Please write out number 6 again, unchanged.
K2TaSe: optimized geometry, PBE.

The structure in POSCAR format:
```
K2TaSe
1.0
4.115 0.000 0.000
0.000 4.683 0.000
0.000 0.000 5.557
K Ta Se
2 1 1
Direct
0.000 0.000 0.000
0.500 0.500 0.000
0.000 0.500 0.500
0.500 0.000 0.500
```

Formation energy without anion corrections: 0.762 eV/atom
Space-group type: Pmmm, No. 47
Density: 5.243 g/cm3